1.
NdPaP2Rh5: optimized geometry, PBE.

Cell lengths 4.0519, 4.0519, 10.7064 Å; angles 90.00, 90.00, 90.00 degrees
Atoms (fractional coordinates):
1 Nd 0.5000 0.5000 0.5000
2 Pa 0.0000 0.0000 0.0000
3 P 0.0000 0.0000 0.7106
4 P 0.0000 0.0000 0.2894
5 Rh 0.0000 0.0000 0.5000
6 Rh 0.0000 0.5000 0.8155
7 Rh 0.5000 0.0000 0.1845
8 Rh 0.0000 0.5000 0.1845
9 Rh 0.5000 0.0000 0.8155

## Properties
SG: P4/mmm (123)
magnetization: 0.00 μB per cell
energy of formation: -0.667 eV per atom
volume: 175.8 Å³/f.u.


2.
RbPrGa2I6: optimized geometry, PBE.

Cell lengths 8.4009, 8.4011, 9.0705 Å; angles 62.40, 62.40, 59.99 degrees
Atoms (fractional coordinates):
1 Rb 0.8111 0.8111 0.5668
2 Pr 0.3251 0.3250 0.0247
3 Ga 0.5111 0.5113 0.4668
4 Ga 0.0034 0.0036 0.9893
5 I 0.5798 0.2488 0.2340
6 I 0.2488 0.9371 0.2342
7 I 0.9372 0.5798 0.2342
8 I 0.3584 0.7292 0.7550
9 I 0.7293 0.1572 0.7551
10 I 0.1573 0.3583 0.7551

## Properties
SG: R3 (146)
magnetization: 0.00 μB per cell
total DFT energy (no corrections): -3.113 eV/atom
volume: 468.4 Å³/f.u.


3.
EuMg2: optimized geometry, PBE.

Cell lengths 3.7265, 3.7265, 6.8531 Å; angles 105.78, 105.78, 90.00 degrees
Last column: magnetic moment on the atom in μB.
Atoms (fractional coordinates):
1 Eu 0.0000 0.0000 0.0000  6.95
2 Mg 0.6856 0.6856 0.3712  0.01
3 Mg 0.3144 0.3144 0.6288  0.01

## Properties
SG: I4/mmm (139)
magnetization: 7.50 μB per cell
energy of formation: -0.042 eV per atom
volume: 87.9 Å³/f.u.


4.
Ta2WAu: optimized geometry, PBE.

Cell lengths 10.0944, 10.0944, 10.0944 Å; angles 16.31, 16.31, 16.31 degrees
Atoms (fractional coordinates):
1 Au 0.7500 0.7500 0.7500
2 Ta 0.0006 0.0006 0.0006
3 Ta 0.4994 0.4994 0.4994
4 W 0.2500 0.2500 0.2500

## Properties
SG: R-3m (166)
magnetization: 0.00 μB per cell
E above lowest polymorph: 284 meV/atom
energy of formation: 0.239 eV per atom
volume: 70.7 Å³/f.u.


5.
DyCu2Cl6: optimized geometry, PBE.

Cell lengths 6.7401, 9.1565, 9.1565 Å; angles 84.80, 76.96, 76.96 degrees
Last column: magnetic moment on the atom in μB.
Atoms (fractional coordinates):
1 Dy 0.2500 0.0895 0.9105  0.00
2 Dy 0.7500 0.9105 0.0895  0.00
3 Cu 0.3621 0.4870 0.6665  0.32
4 Cu 0.1379 0.3335 0.5130  0.32
5 Cu 0.6379 0.5130 0.3335  0.32
6 Cu 0.8621 0.6665 0.4870  0.32
7 Cl 0.4961 0.6779 0.5443  0.10
8 Cl 0.0039 0.4557 0.3221  0.10
9 Cl 0.5039 0.3221 0.4557  0.10
10 Cl 0.9961 0.5443 0.6779  0.10
11 Cl 0.8622 0.8820 0.3516  0.03
12 Cl 0.6378 0.6484 0.1180  0.03
13 Cl 0.1378 0.1180 0.6484  0.03
14 Cl 0.3622 0.3516 0.8820  0.03
15 Cl 0.1401 0.8219 0.9434  0.00
16 Cl 0.3599 0.0566 0.1781  0.00
17 Cl 0.8599 0.1781 0.0566  0.00
18 Cl 0.6401 0.9434 0.8219  0.00

## Properties
SG: C2/c (15)
magnetization: 1.95 μB per cell
total DFT energy (no corrections): -3.918 eV/atom
volume: 267.9 Å³/f.u.


6.
Ba2PuCl2O2: optimized geometry, PBE.

Cell lengths 4.6205, 4.6205, 8.6540 Å; angles 105.48, 105.48, 90.00 degrees
Last column: magnetic moment on the atom in μB.
Atoms (fractional coordinates):
1 Ba 0.3859 0.3859 0.7717  0.12
2 Ba 0.6141 0.6141 0.2283  0.12
3 Pu 0.0000 0.0000 0.0000  5.33
4 Cl 0.1818 0.1818 0.3636  0.00
5 Cl 0.8182 0.8182 0.6364  0.00
6 O 0.0000 0.5000 0.0000  -0.09
7 O 0.5000 0.0000 0.0000  -0.09

## Properties
SG: I4/mmm (139)
magnetization: 5.97 μB per cell
total DFT energy (no corrections): -6.928 eV/atom
volume: 171.1 Å³/f.u.


7.
U2CoNi3Ge4: optimized geometry, PBE.

Cell lengths 4.0717, 4.0717, 9.5987 Å; angles 90.00, 90.00, 90.00 degrees
Last column: magnetic moment on the atom in μB.
Atoms (fractional coordinates):
1 U 0.5000 0.0000 0.2559  1.79
2 U 0.0000 0.5000 0.7441  1.79
3 Co 0.5000 0.5000 0.5000  0.74
4 Ni 0.0000 0.0000 0.5000  0.28
5 Ni 0.5000 0.0000 0.8732  -0.03
6 Ni 0.0000 0.5000 0.1268  -0.03
7 Ge 0.5000 0.5000 0.0000  -0.01
8 Ge 0.0000 0.0000 0.0000  -0.02
9 Ge 0.5000 0.0000 0.6315  -0.01
10 Ge 0.0000 0.5000 0.3685  -0.01

## Properties
SG: P-4m2 (115)
magnetization: 4.68 μB per cell
energy of formation: -0.385 eV per atom
volume: 159.1 Å³/f.u.


8.
LiCdSb2: optimized geometry, PBE.

Cell lengths 5.7508, 5.7508, 5.7508 Å; angles 133.28, 133.87, 67.75 degrees
Atoms (fractional coordinates):
1 Cd 0.7500 0.2500 0.5000
2 Li 0.2500 0.7500 0.5000
3 Sb 0.9996 0.9996 0.0000
4 Sb 0.5004 0.5004 0.0000

## Properties
SG: Immm (71)
magnetization: 0.00 μB per cell
total DFT energy (no corrections): -2.879 eV/atom
volume: 98.1 Å³/f.u.


- Look up the magnetization of the first one.
  0.00 μB per cell


What did the seventh record say?
U2CoNi3Ge4: optimized geometry, PBE.

Cell lengths 4.0717, 4.0717, 9.5987 Å; angles 90.00, 90.00, 90.00 degrees
Last column: magnetic moment on the atom in μB.
Atoms (fractional coordinates):
1 U 0.5000 0.0000 0.2559  1.79
2 U 0.0000 0.5000 0.7441  1.79
3 Co 0.5000 0.5000 0.5000  0.74
4 Ni 0.0000 0.0000 0.5000  0.28
5 Ni 0.5000 0.0000 0.8732  -0.03
6 Ni 0.0000 0.5000 0.1268  -0.03
7 Ge 0.5000 0.5000 0.0000  -0.01
8 Ge 0.0000 0.0000 0.0000  -0.02
9 Ge 0.5000 0.0000 0.6315  -0.01
10 Ge 0.0000 0.5000 0.3685  -0.01

## Properties
SG: P-4m2 (115)
magnetization: 4.68 μB per cell
energy of formation: -0.385 eV per atom
volume: 159.1 Å³/f.u.